1.
The following is a DFT calculation (PBE) of SiNi2 after structural relaxation.

```
SiNi2
1.0
0.000 3.288 3.288
3.288 0.000 3.288
3.288 3.288 0.000
Si Ni
2 4
direct
0.125 0.125 0.125
0.875 0.875 0.875
0.000 0.500 0.500
0.500 0.000 0.500
0.500 0.500 0.000
0.500 0.500 0.500
```

Values from the calculation:
* E_tot: -5.62 eV per atom



2.
The following is a DFT calculation (PBE) of SiNi3 after structural relaxation.

```
SiNi3
1.0
2.468 -3.341 0.000
2.468 3.341 0.000
0.000 0.000 2.642
Si Ni
1 3
direct
0.000 0.000 0.000
0.000 0.500 0.500
0.500 0.000 0.500
0.500 0.500 0.000
```

Values from the calculation:
* E_tot: -6.02 eV per atom



3.
The following is a DFT calculation (PBE) of SiNi2 after structural relaxation.

```
SiNi2
1.0
5.506 -1.712 0.000
5.506 1.712 0.000
-0.323 0.000 3.551
Si Ni
2 4
direct
0.151 0.151 0.043
0.849 0.849 0.957
0.000 0.000 0.500
0.331 0.331 0.430
0.500 0.500 0.000
0.669 0.669 0.570
```

Values from the calculation:
* E_tot: -6.10 eV per atom



4.
The following is a DFT calculation (PBE) of Si2Ni after structural relaxation.

```
Si2Ni
1.0
0.000 2.719 2.719
2.719 0.000 2.719
2.719 2.719 0.000
Si Ni
2 1
direct
0.250 0.250 0.250
0.750 0.750 0.750
0.000 0.000 0.000
```

Values from the calculation:
* E_tot: -5.90 eV per atom



5.
The following is a DFT calculation (PBE) of SiNi4 after structural relaxation.

```
SiNi4
1.0
-1.877 2.419 6.022
1.877 -2.419 6.022
1.877 2.419 -6.022
Si Ni
2 8
direct
0.359 0.109 0.250
0.641 0.891 0.750
0.000 0.500 0.500
0.152 0.902 0.250
0.194 0.695 0.499
0.304 0.305 0.999
0.500 0.500 0.000
0.696 0.695 0.001
0.806 0.305 0.501
0.848 0.098 0.750
```

Values from the calculation:
* distance to the lowest polymorph of the same formula: 75 meV/atom



6.
The following is a DFT calculation (PBE) of SiNi4 after structural relaxation.

```
SiNi4
1.0
-2.742 2.742 1.795
2.742 -2.742 1.795
2.742 2.742 -1.795
Si Ni
1 4
direct
0.000 0.000 0.000
0.199 0.396 0.596
0.396 0.801 0.197
0.604 0.199 0.803
0.801 0.604 0.404
```

Values from the calculation:
* distance to the lowest polymorph of the same formula: 0 meV/atom



7.
The following is a DFT calculation (PBE) of Si2Ni3 after structural relaxation.

```
Si2Ni3
1.0
-2.944 4.587 2.241
2.944 -4.587 2.241
2.944 4.587 -2.241
Si Ni
4 6
direct
0.162 0.247 0.409
0.338 0.747 0.085
0.662 0.253 0.915
0.838 0.753 0.591
0.098 0.860 0.958
0.250 0.750 0.500
0.402 0.360 0.761
0.598 0.640 0.239
0.750 0.250 0.500
0.902 0.140 0.042
```

Values from the calculation:
* E_tot: -6.00 eV per atom



8.
The following is a DFT calculation (PBE) of Si5Ni4 after structural relaxation.

```
Si5Ni4
1.0
-3.788 3.788 1.875
3.788 -3.788 1.875
3.788 3.788 -1.875
Si Ni
5 4
direct
0.000 0.000 0.000
0.327 0.327 0.653
0.327 0.673 0.000
0.673 0.327 0.000
0.673 0.673 0.347
0.000 0.315 0.315
0.000 0.685 0.685
0.315 0.000 0.315
0.685 0.000 0.685
```

Values from the calculation:
* distance to the lowest polymorph of the same formula: 36 meV/atom



| no. | D(E_F) (states/eV per atom) |
| --- | --- |
| 1 | 0.28 |
| 2 | 1.10 |
| 3 | 0.66 |
| 4 | 0.24 |
| 5 | 0.99 |
| 6 | 1.37 |
| 7 | 0.53 |
| 8 | 0.82 |